Entry 1:
First-principles (PBE) data for crystalline MnTe5 at its relaxed geometry, as listed in the Alexandria database.

Summary:
uncorrected formation energy = 0.650 eV/atom
size of the total moment = 1.04 μB/atom
energy = -3.4964 eV/atom
Fermi-level density of states = 8.3 states/eV/f.u.

a b c (Å): 5.7679 5.7679 8.7385
angles (deg): 90.00 90.00 120.00
Space group P6/mmm (No. 191)
Symmetry-distinct sites (fractional):
Mn1 0.0000 0.0000 0.0000 [1 per cell]
Te1 0.0000 0.5000 0.5000 [3 per cell]
Te2 0.3333 0.6667 0.0000 [2 per cell]

---

Entry 2:
First-principles (PBE) data for crystalline Fe2Os2W at its relaxed geometry, as listed in the Alexandria database.

Summary:
size of the total moment = 0.00 μB/atom
energy = -10.2949 eV/atom
Fermi-level density of states = 5.2 states/eV/f.u.

a b c (Å): 6.991 6.991 2.717
angles (deg): 90.00 90.00 90.00
Space group P4/mbm (No. 127)
Symmetry-distinct sites (fractional):
Fe1 0.120 0.380 0.000 [4 per cell]
Os1 0.176 0.676 0.500 [4 per cell]
W1 0.000 0.000 0.000 [2 per cell]

---

| no. | density (Mg/m³) |
| --- | --- |
| 1 | 4.57 |
| 2 | 16.90 |